[1]
The following is a PBE-GGA calculation of an optimized crystal structure of Sm2Pd2Se, from Alexandria via LeMat-Bulk.

Values from the calculation:
Calculated density (g/cm3): 8.0
ΔE_f (raw) (eV/atom): -1.125
SG: R-3m (166)
Magnetization (μB/atom): 0.000
N(E_F) (states/eV per cell): 0.61

a b c (Å): 4.2781 4.2781 8.1118
angles (deg): 90.02 105.25 120.04
Fractional coordinates of all 5 atoms:
Pd1 0.6285 0.8143 0.4427
Pd2 0.3715 0.1857 0.5573
Se1 0.0000 0.0000 0.0000
Sm1 0.1712 0.5855 0.7567
Sm2 0.8288 0.4145 0.2433


[2]
The following is a PBE-GGA calculation of an optimized crystal structure of Tb4As3P, from Alexandria via LeMat-Bulk.

Values from the calculation:
Calculated density (g/cm3): 7.5
SG: P2/c (13)
Magnetization (μB/atom): 0.000
N(E_F) (states/eV per cell): 1.34
VASP energy (eV/atom): -6.292

a b c (Å): 7.1171 7.1196 8.2303
angles (deg): 90.00 90.00 109.51
Fractional coordinates of all 16 atoms:
As1 0.7500 0.5000 0.1247
As2 0.2500 0.0000 0.6254
As3 0.7500 0.5000 0.6253
As4 0.2500 0.5000 0.8753
As5 0.2500 0.5000 0.3747
As6 0.7500 0.0000 0.3746
P1 0.7500 0.0000 0.8755
P2 0.2500 0.0000 0.1245
Tb1 0.4969 0.2482 0.3720
Tb2 0.5031 0.7518 0.6280
Tb3 0.0007 0.2447 0.1220
Tb4 0.4993 0.7553 0.1220
Tb5 0.5007 0.2447 0.8780
Tb6 0.9969 0.2482 0.6280
Tb7 0.9993 0.7553 0.8780
Tb8 0.0031 0.7518 0.3720